Record 1
GdHIBr | PBE | optimized geometry

## Properties
Electronic total energy: -0.3068 Ry per atom
Crystal system: trigonal
Magnetic moment: 0.0 μB/f.u.

a b c (Å): 3.9590 3.9590 15.4288
angles (deg): 90.00 90.00 120.00
Space group P-3m1 (No. 164)
One atom of each set of equivalent atoms:
Gd  0.0000  0.0000  0.2437
H  0.3333  0.6667  0.7535
I  0.3333  0.6667  0.3834
Br  0.3333  0.6667  0.1210



Record 2
LiHoTe3Pb | PBE | optimized geometry

## Properties
Electronic total energy: -0.3080 Ry per atom
Crystal system: orthorhombic
Distance to the lowest polymorph of the same formula: 17 meV per atom
Magnetic moment: 0.0 μB/f.u.

a b c (Å): 4.383 14.500 11.352
angles (deg): 90.00 90.00 90.00
Space group Cmcm (No. 63)
One atom of each set of equivalent atoms:
Li  0.000  0.026  0.250
Ho  0.000  0.500  0.000
Te  0.000  0.142  0.061
Te  0.000  0.413  0.250
Pb  0.000  0.258  0.750



What is the magnetic moment in the second record? 0.0 μB/f.u.



Look up the magnetic moment of the second one. 0.0 μB/f.u.



electronic total energy of number 2 (LiHoTe3Pb)? -0.3080 Ry per atom